DFT (PBE-GGA) results for a relaxed Mg2In4Au crystal.

The structure in extended XYZ format:
```
7
Lattice="-0.0384 1.7132 5.1842 -0.8374 -5.1249 1.6873 6.6422 -2.7337 3.8278" Properties=species:S:1:pos:R:3 pbc="T T T"
In 3.9314 -2.3402 3.6777
In -0.4187 -2.5624 0.8437
In 1.8350 -3.8052 7.0217
In -0.0192 0.8566 2.5921
Mg 4.6465 -4.2134 7.1774
Mg 1.1199 -1.9320 3.5221
Au 0.0000 0.0000 0.0000
```

- DOS(E_F) (states/eV/f.u.) = 4.19
- SG = No. 139
- E_form (eV/f.u.) = 1.10